This record from OQMD describes Sn3Pd10 after structural relaxation. The functional is GGA-PBE.

a = 3.9926 Å, b = 3.9926 Å, c = 23.5363 Å
α = 90.00°, β = 90.00°, γ = 90.00°
Sites, in units of the cell vectors:
Pd  0.5000  0.5000  0.3372
Pd  0.0000  0.5000  0.4224
Pd  0.5000  0.5000  0.0006
Pd  0.5000  0.0000  0.2486
Pd  0.0000  0.5000  0.0765
Pd  0.5000  0.5000  0.5088
Pd  0.5000  0.0000  0.4224
Pd  0.5000  0.0000  0.0765
Pd  0.0000  0.5000  0.2486
Pd  0.5000  0.5000  0.1629
Sn  0.0000  0.0000  0.5057
Sn  0.0000  0.0000  0.1581
Sn  0.0000  0.0000  0.3316

Final energy ... -66.6 eV for the cell shown
Theoretical density ... 6.3 g cm⁻³